First-principles (GGA-PBE) data for ZrTi2Mn after structural relaxation, as listed in the Alexandria database.

The structure belongs to space group Fm-3m (No. 225); the cell edges are 6.391, 6.391 and 6.391 Å and the angles 90.00°, 90.00° and 90.00°. The asymmetric unit holds Zr at (0.000, 0.000, 0.000), Ti at (0.250, 0.250, 0.250) and Mn at (0.000, 0.000, 0.500).

The density of states at the Fermi level is 6.56 states/eV/f.u. As for the volume: 16.3 Å³ per atom. For the total magnetization, the calculation gives 0.25 μB per formula unit. The value obtained for the energy of formation is 143 meV/atom. The energy relative to the lowest polymorph listed for this composition is 0.244 eV/atom.

First-principles (GGA-PBE) data for CrOs2Pt after structural relaxation, as listed in the Alexandria database.

The structure belongs to space group Cmmm (No. 65); the cell edges are 5.412, 7.675 and 2.721 Å and the angles 90.00°, 90.00° and 90.00°. The asymmetric unit holds Cr at (0.000, 0.000, 0.000), Os at (0.250, 0.250, 0.500) and Pt at (0.000, 0.500, 0.000).

The density of states at the Fermi level is 4.18 states/eV/f.u. As for the volume: 14.1 Å³ per atom. For the total magnetization, the calculation gives 1.06 μB per formula unit. The value obtained for the energy of formation is 137 meV/atom.